# 1
Compound: RbZrTeN2
Source: the Alexandria database
Functional: PBE
Structure: relaxed

Structure (POSCAR):
```
RbZrTeN2
1.0
-2.2219 3.6279 0.4308
-3.5812 -2.0631 -1.0967
-1.0346 -1.3322 5.8842
Zr N Te Rb
1 2 1 1
direct
0.5000 0.5000 0.5000
0.5000 0.0000 0.0000
0.0000 0.5000 0.0000
0.0000 0.0000 0.5000
0.0000 0.0000 0.0000
```

Summary:
The total magnetization is 0.000 μB per formula unit. The value obtained for the density of states at the Fermi level is 1.022 states/eV/atom. The energy above the most stable polymorph in this dataset is 2002 meV per atom.

=====

# 2
Compound: AgAsIrSe2
Source: the Alexandria database
Functional: PBE
Structure: relaxed

Structure (POSCAR):
```
AgAsIrSe2
1.0
-4.8694 1.3984 0.9345
-0.9994 -0.1035 -5.0527
-1.2024 -4.4062 0.3281
As Ir Se Ag
1 1 2 1
direct
0.0000 0.0000 0.5000
0.0000 0.0000 0.0000
0.5000 0.0000 0.0000
0.0000 0.5000 0.0000
0.5000 0.5000 0.5000
```

Summary:
The total magnetization is 0.000 μB per formula unit. The value obtained for the density of states at the Fermi level is 1.235 states/eV/atom. The energy above the most stable polymorph in this dataset is 0 meV per atom.